one.
This record from the Alexandria database describes crystalline TbYRuAu at its relaxed geometry. The functional is PBE-GGA.

Summary:
Space group: F-43m

extended XYZ file:
```
4
Lattice="4.9674 0.0000 0.0000 2.4837 4.3019 0.0000 2.4837 1.4340 4.0559" Properties=species:S:1:pos:R:3 pbc="T T T"
Y 7.4511 4.3019 3.0419
Tb 2.4837 1.4340 1.0140
Au 4.9674 2.8679 2.0279
Ru 0.0000 0.0000 0.0000
```


two.
This record from the Alexandria database describes crystalline TbYRuAu at its relaxed geometry. The functional is PBE-GGA.

Summary:
Space group: P4mm

extended XYZ file:
```
4
Lattice="-2.8369 -1.8557 -0.6592 1.3617 -1.0134 -3.0075 3.0030 -5.7635 3.3018" Properties=species:S:1:pos:R:3 pbc="T T T"
Tb 2.5146 -4.8262 2.7648
Y 1.1279 -2.1648 1.2402
Ru 1.0878 -4.9380 0.1737
Au -0.4160 -2.0518 -1.4797
```


Stability ranking, top and bottom: two is the most stable and one is the least stable.


one.
This record from the Alexandria database describes crystalline TcRuAu at its relaxed geometry. The functional is PBE-GGA.

Summary:
Space group: Imm2

extended XYZ file:
```
3
Lattice="4.8885 0.0047 -0.0036 2.5815 4.1512 0.0036 -3.3998 -2.6805 2.2701" Properties=species:S:1:pos:R:3 pbc="T T T"
Au 0.0012 0.0007 0.0000
Ru 2.3978 1.3341 0.0000
Tc 5.0709 2.8213 0.0000
```


two.
This record from the Alexandria database describes crystalline TcRuAu at its relaxed geometry. The functional is PBE-GGA.

Summary:
Space group: F-43m

extended XYZ file:
```
3
Lattice="-1.9374 -3.2918 1.8774 0.3765 -3.9089 -1.6410 2.3020 -2.9479 2.0310" Properties=species:S:1:pos:R:3 pbc="T T T"
Au 0.3705 -5.0743 1.1337
Ru 0.5558 -7.6115 1.7006
Tc 0.0000 0.0000 0.0000
```


three.
This record from the Alexandria database describes crystalline TcRuAu at its relaxed geometry. The functional is PBE-GGA.

Summary:
Space group: I4mm

extended XYZ file:
```
3
Lattice="6.2297 0.0084 0.0000 4.9499 3.7826 0.0000 -5.5898 -1.8955 1.9926" Properties=species:S:1:pos:R:3 pbc="T T T"
Au 0.0050 0.0017 0.0000
Ru 3.5536 1.2050 0.0000
Tc 7.6209 2.5842 0.0000
```


Stability ranking, top and bottom: three is the most stable and two is the least stable.


one.
This record from the Alexandria database describes crystalline TcRuAu at its relaxed geometry. The functional is PBE-GGA.

Summary:
Space group: P3m1

extended XYZ file:
```
3
Lattice="-1.3993 -2.4021 0.1550 1.8770 0.3899 -2.0192 4.9786 -2.6344 4.1191" Properties=species:S:1:pos:R:3 pbc="T T T"
Au 0.0011 -0.0006 0.0009
Ru 1.4691 -2.4114 0.9000
Tc 3.9860 -2.2346 1.3541
```


two.
This record from the Alexandria database describes crystalline TcRuAu at its relaxed geometry. The functional is PBE-GGA.

Summary:
Space group: Fmm2

extended XYZ file:
```
3
Lattice="-1.2493 -6.8793 -2.9338 1.3941 -6.3720 -3.3954 -0.6155 -1.5889 2.1342" Properties=species:S:1:pos:R:3 pbc="T T T"
Au 0.1448 -13.2504 -6.3286
Ru -0.3699 -5.3562 -0.5998
Tc -0.1007 -9.4848 -3.5959
```


Stability ranking, top and bottom: one is the most stable and two is the least stable.